A plane-wave DFT calculation with PBE was carried out for a relaxed structure of Pm5MgCo2.

Geometry as POSCAR:
```
Pm5MgCo2
1.0
7.1430 0.0000 -3.3719
-1.5917 6.9634 -3.3719
-0.1945 -0.2439 8.8399
Mg Pm Co
2 10 4
Direct
0.7500 0.7500 0.5000
0.2500 0.2500 0.5000
0.9706 0.4706 0.2580
0.5000 0.5000 0.0000
0.7874 0.9706 0.2580
0.7126 0.2126 0.7420
0.4706 0.2874 0.2580
0.2874 0.7874 0.2580
0.2126 0.0294 0.7420
0.0000 0.0000 0.0000
0.5294 0.7126 0.7420
0.0294 0.5294 0.7420
0.8639 0.6361 0.0000
0.6361 0.1361 0.0000
0.3639 0.8639 0.0000
0.1361 0.3639 0.0000
```

Computed properties:
**Calculated formation energy**: -44 meV/atom
**Raw total energy**: -4.99 eV/atom

***

A plane-wave DFT calculation with PBE was carried out for a relaxed structure of MgPaCoRh.

Geometry as POSCAR:
```
MgPaCoRh
1.0
4.6293 0.0000 0.0000
2.3146 4.0091 0.0000
2.3146 1.3364 3.7798
Mg Co Pa Rh
1 1 1 1
Direct
0.0000 0.0000 0.0000
0.2500 0.2500 0.2500
0.5000 0.5000 0.5000
0.7500 0.7500 0.7500
```

Computed properties:
**Calculated formation energy**: -358 meV/atom
**Raw total energy**: -6.75 eV/atom

***

Among the records above, which one has the highest raw total energy?
Pm5MgCo2